[1]
This record from Alexandria describes a relaxed structure of ScAsIO2. The functional is PBE.

Cell lengths 4.0850, 4.0850, 6.3548 Å; angles 90.00, 90.00, 90.00 degrees
Last column: magnetic moment on the atom in μB.
Element x y z (fractional)
I1 0.0000 0.0000 0.5000  0.03
Sc1 0.0000 0.0000 0.0000  0.01
As1 0.5000 0.5000 0.5000  0.44
O1 0.0000 0.5000 0.0000  -0.04
O2 0.5000 0.0000 0.0000  -0.04

Summary:
Total magnetic moment: 0.873 μB per formula unit
DFT total energy: -0.1991 Ha/atom
Theoretical density: 4.365 g cm⁻³

[2]
This record from Alexandria describes a relaxed structure of ScAsIO4. The functional is PBE.

Cell lengths 6.5338, 6.5338, 6.4984 Å; angles 78.83, 78.83, 56.43 degrees
Element x y z (fractional)
Sc1 0.3020 0.3020 0.8347
Sc2 0.6980 0.6980 0.1653
As1 0.6335 0.6335 0.7362
As2 0.3665 0.3665 0.2638
I1 0.0364 0.0364 0.2919
I2 0.9636 0.9636 0.7081
O1 0.2987 0.2987 0.5237
O2 0.7013 0.7013 0.4763
O3 0.1073 0.5276 0.1224
O4 0.5171 0.5171 0.2275
O5 0.4724 0.8927 0.8776
O6 0.5276 0.1073 0.1224
O7 0.4829 0.4829 0.7725
O8 0.8927 0.4724 0.8776

Summary:
Total magnetic moment: 0.000 μB per formula unit
DFT total energy: -0.2335 Ha/atom
Theoretical density: 4.577 g cm⁻³

[3]
This record from Alexandria describes a relaxed structure of SiAsI2O. The functional is PBE.

Cell lengths 5.6200, 5.6200, 3.4944 Å; angles 90.00, 90.00, 90.00 degrees
Element x y z (fractional)
I1 0.0000 0.5000 0.0000
I2 0.5000 0.0000 0.0000
As1 0.5000 0.5000 0.5000
Si1 0.0000 0.0000 0.0000
O1 0.0000 0.0000 0.5000

Summary:
Total magnetic moment: 0.000 μB per formula unit
DFT total energy: -0.1366 Ha/atom
Excess energy over the best structure of this formula in the dataset: 0.000 eV per atom
Theoretical density: 5.609 g cm⁻³

[4]
This record from Alexandria describes a relaxed structure of SiAsI2O. The functional is PBE.

Cell lengths 5.8210, 5.8210, 3.7968 Å; angles 90.00, 90.00, 90.00 degrees
Last column: magnetic moment on the atom in μB.
Element x y z (fractional)
I1 0.0000 0.5000 0.0000  0.00
I2 0.5000 0.0000 0.0000  0.00
As1 0.0000 0.0000 0.0000  0.00
Si1 0.5000 0.5000 0.5000  0.08
O1 0.0000 0.0000 0.5000  0.00

Summary:
Total magnetic moment: 0.261 μB per formula unit
DFT total energy: -0.1246 Ha/atom
Excess energy over the best structure of this formula in the dataset: 0.327 eV per atom
Theoretical density: 4.812 g cm⁻³

[5]
This record from Alexandria describes a relaxed structure of SmAsIO4. The functional is PBE.

Cell lengths 6.8021, 6.8021, 6.9194 Å; angles 79.68, 79.68, 57.10 degrees
Element x y z (fractional)
Sm1 0.2991 0.2991 0.8241
Sm2 0.7009 0.7009 0.1759
As1 0.6345 0.6345 0.7436
As2 0.3655 0.3655 0.2564
I1 0.0314 0.0314 0.3037
I2 0.9686 0.9686 0.6963
O1 0.2998 0.2998 0.4980
O2 0.7002 0.7002 0.5020
O3 0.1163 0.5218 0.1256
O4 0.5096 0.5096 0.2287
O5 0.4782 0.8837 0.8744
O6 0.5218 0.1163 0.1256
O7 0.4904 0.4904 0.7713
O8 0.8837 0.4782 0.8744

Summary:
Total magnetic moment: 0.000 μB per formula unit
DFT total energy: -0.2297 Ha/atom
Theoretical density: 5.252 g cm⁻³

[6]
This record from Alexandria describes a relaxed structure of SnAsI2O. The functional is PBE.

Cell lengths 6.0244, 6.0244, 3.9764 Å; angles 90.00, 90.00, 90.00 degrees
Element x y z (fractional)
I1 0.0000 0.5000 0.0000
I2 0.5000 0.0000 0.0000
As1 0.5000 0.5000 0.5000
Sn1 0.0000 0.0000 0.0000
O1 0.0000 0.0000 0.5000

Summary:
Total magnetic moment: 0.000 μB per formula unit
DFT total energy: -0.1193 Ha/atom
Excess energy over the best structure of this formula in the dataset: 0.258 eV per atom
Theoretical density: 5.332 g cm⁻³

Q: The highest total magnetic moment belongs to which entry?
A: ScAsIO2

Q: The highest DFT total energy belongs to which entry?
A: SnAsI2O

Q: Which value of DFT total energy does entry 4 give?
A: -0.1246 Ha/atom